## Ho3BeSi4 (PBE)

Data for a relaxed Ho3BeSi4 crystal.

a = 7.9350 Å, b = 7.9350 Å, c = 7.9350 Å
α = 148.64°, β = 139.11°, γ = 52.42°
Closest atoms and distances in Å follow each position.
Sites, in units of the cell vectors:
Ho 0.0000 0.0000 0.0000  8 Si 2.97
Ho 0.3088 0.8088 0.5000  6 Si 2.87-2.96
Ho 0.6912 0.1912 0.5000  6 Si 2.87-2.96
Be 0.5000 0.5000 0.0000  4 Si 2.31
Si 0.0956 0.3821 0.7134  1 Be 2.31, 1 Si 2.37
Si 0.3313 0.6179 0.7134  1 Be 2.31, 1 Si 2.37
Si 0.6687 0.3821 0.2866  1 Be 2.31, 1 Si 2.37
Si 0.9044 0.6179 0.2866  1 Be 2.31, 1 Si 2.37

Properties
* mass density: 6.0 g/cm3
* volume: 169 Å³ per cell
* symmetry: Immm
* formation energy without anion corrections: -0.435 eV per atom


## CaNd2PuSb4 (PBE)

Data for a relaxed CaNd2PuSb4 crystal.

a = 7.7800 Å, b = 4.5122 Å, c = 7.7867 Å
α = 90.00°, β = 109.36°, γ = 90.00°
Closest atoms and distances in Å follow each position.
Sites, in units of the cell vectors:
Ca 0.0000 0.0000 0.0000  6 Sb 3.18-3.19
Nd 0.0000 0.5000 0.5000  6 Sb 3.23
Nd 0.5000 0.0000 0.5000  6 Sb 3.17-3.18
Pu 0.5000 0.5000 0.0000  6 Sb 3.12-3.14
Sb 0.2550 0.5000 0.2466  1 Pu 3.12, 3 Nd 3.18-3.23, 2 Ca 3.19
Sb 0.2570 0.0000 0.7562  2 Pu 3.14, 3 Nd 3.17-3.23, 1 Ca 3.18
Sb 0.7430 0.0000 0.2438  2 Pu 3.14, 3 Nd 3.17-3.23, 1 Ca 3.18
Sb 0.7450 0.5000 0.7534  1 Pu 3.12, 3 Nd 3.18-3.23, 2 Ca 3.19

Properties
* mass density: 6.8 g/cm3
* volume: 258 Å³ per cell
* symmetry: P2/m
* formation energy without anion corrections: -0.924 eV per atom


## K2NaCd12In3 (PBE)

Data for a relaxed K2NaCd12In3 crystal.

a = 7.9424 Å, b = 7.9424 Å, c = 7.9424 Å
α = 86.06°, β = 86.06°, γ = 86.06°
Closest atoms and distances in Å follow each position.
Sites, in units of the cell vectors:
K 0.2248 0.2248 0.2248  3 In 3.51, 9 Cd 3.52-3.59
K 0.7752 0.7752 0.7752  3 In 3.51, 9 Cd 3.52-3.59
Na 0.5000 0.5000 0.5000  6 Cd 3.09
Cd 0.0787 0.0787 0.6394  4 Cd 2.91-3.14
Cd 0.0787 0.6394 0.0787  4 Cd 2.91-3.14
Cd 0.2147 0.7008 0.7008  5 Cd 2.91-3.25, 1 In 3.02, 1 Na 3.09
Cd 0.2992 0.2992 0.7853  5 Cd 2.91-3.25, 1 In 3.02, 1 Na 3.09
Cd 0.2992 0.7853 0.2992  5 Cd 2.91-3.25, 1 In 3.02, 1 Na 3.09
Cd 0.3606 0.9213 0.9213  4 Cd 2.91-3.14
Cd 0.6394 0.0787 0.0787  4 Cd 2.91-3.14
Cd 0.7008 0.2147 0.7008  5 Cd 2.91-3.25, 1 In 3.02, 1 Na 3.09
Cd 0.7008 0.7008 0.2147  5 Cd 2.91-3.25, 1 In 3.02, 1 Na 3.09
Cd 0.7853 0.2992 0.2992  5 Cd 2.91-3.25, 1 In 3.02, 1 Na 3.09
Cd 0.9213 0.3606 0.9213  4 Cd 2.91-3.14
Cd 0.9213 0.9213 0.3606  4 Cd 2.91-3.14
In 0.0000 0.5000 0.5000  2 Cd 3.02
In 0.5000 0.0000 0.5000  2 Cd 3.02
In 0.5000 0.5000 0.0000  2 Cd 3.02

Properties
* mass density: 6.0 g/cm3
* volume: 498 Å³ per cell
* DFT total energy: -1.24 eV per atom
* symmetry: R-3m


## ZrHgRh (PBE)

Data for a relaxed ZrHgRh crystal.

a = 5.2301 Å, b = 5.2301 Å, c = 5.2301 Å
α = 140.68°, β = 140.68°, γ = 56.81°
Closest atoms and distances in Å follow each position.
Sites, in units of the cell vectors:
Zr 0.0000 0.0000 0.0000  4 Rh 2.79, 5 Hg 2.91-3.01
Hg 0.3160 0.3160 0.0000  5 Zr 2.91-3.01, 5 Rh 2.95-2.98
Rh 0.6370 0.6370 0.0000  4 Zr 2.79, 5 Hg 2.95-2.98

Properties
* mass density: 11.5 g/cm3
* volume: 57 Å³ per cell
* relative energy among the computed polymorphs: 0.000 eV per atom
* symmetry: I4mm


volume of number 3 (K2NaCd12In3)?
498 Å³ per cell


Look up the mass density of the first one.
6.0 g/cm3


The lowest volume belongs to which entry?
ZrHgRh